Version one
First-principles (PBE) data for a relaxed Ga2GePt2 crystal, as listed in Alexandria.

abc: 3.7549 3.7549 12.3644
angles: 90.00 90.00 90.00
With the nearest neighbours (Å) after each atom.
Space group I4/mmm (No. 139)
Symmetry-distinct sites (fractional):
Ga  0.0000  0.5000  0.2500  4 Pt 2.55, 4 Ga 2.66
Ge  0.0000  0.0000  0.0000  8 Pt 2.98
Pt  0.0000  0.0000  0.3900  4 Ga 2.55, 1 Pt 2.72

Properties
M_tot: 0.00 μB per cell
N(E_F): 1.6 states/eV/f.u.
Crystal system: tetragonal

Version two
First-principles (PBE) data for a relaxed Ga2GePt2 crystal, as listed in Alexandria.

abc: 7.6523 7.6523 2.8222
angles: 90.00 90.00 90.00
With the nearest neighbours (Å) after each atom.
Space group P4/mbm (No. 127)
Symmetry-distinct sites (fractional):
Ga  0.1495  0.3505  0.0000  6 Pt 2.61-2.68, 2 Ga 2.82
Ge  0.0000  0.0000  0.5000  2 Ge 2.82, 4 Pt 2.92
Pt  0.1481  0.6481  0.5000  6 Ga 2.61-2.68, 2 Pt 2.82

Properties
M_tot: 0.00 μB per cell
N(E_F): 1.9 states/eV/f.u.
Crystal system: tetragonal

Quick one: least stable of them? version one

Version one
First-principles (PBE) data for a relaxed Ga3GePt crystal, as listed in Alexandria.

abc: 4.8285 4.8285 4.8285
angles: 90.00 90.00 90.00
With the nearest neighbours (Å) after each atom.
Space group Pm-3m (No. 221)
Symmetry-distinct sites (fractional):
Ga  0.0000  0.0000  0.5000  2 Pt 2.41
Ge  0.5000  0.5000  0.5000  12 Ga 3.41
Pt  0.0000  0.0000  0.0000  6 Ga 2.41

Properties
M_tot: 0.00 μB per cell
N(E_F): 3.6 states/eV/f.u.
Crystal system: cubic

Version two
First-principles (PBE) data for a relaxed Ga3GePt crystal, as listed in Alexandria.

abc: 4.9547 4.8147 8.0509
angles: 90.00 91.69 90.00
With the nearest neighbours (Å) after each atom.
Space group P2_1/m (No. 11)
Symmetry-distinct sites (fractional):
Ga  0.0170  0.2500  0.1756  2 Pt 2.52-2.53
Ga  0.3850  0.2500  0.8037  3 Pt 2.54-2.58, 1 Ge 2.69
Ga  0.4718  0.2500  0.4267  1 Pt 2.51, 2 Ga 2.69, 2 Ge 2.73-2.76
Ge  0.0184  0.7500  0.4265  3 Ga 2.69-2.76, 2 Ge 2.69
Pt  0.4875  0.7500  0.8836  6 Ga 2.51-2.58

Properties
M_tot: 0.00 μB per cell
N(E_F): 0.6 states/eV/f.u.
Crystal system: monoclinic

Version three
First-principles (PBE) data for a relaxed Ga3GePt crystal, as listed in Alexandria.

abc: 4.8095 4.8095 4.8095
angles: 90.00 90.00 90.00
With the nearest neighbours (Å) after each atom.
Space group Pm-3m (No. 221)
Symmetry-distinct sites (fractional):
Ga  0.0000  0.0000  0.5000  2 Ge 2.40
Ge  0.0000  0.0000  0.0000  6 Ga 2.40
Pt  0.5000  0.5000  0.5000  12 Ga 3.40

Properties
M_tot: 0.00 μB per cell
N(E_F): 1.6 states/eV/f.u.
Crystal system: cubic

Quick one: least stable of them? version three

Version one
First-principles (PBE) data for a relaxed Ga2GePt3 crystal, as listed in Alexandria.

abc: 11.0672 5.2059 7.4084
angles: 90.00 110.32 90.00
With the nearest neighbours (Å) after each atom.
Space group C2/c (No. 15)
Symmetry-distinct sites (fractional):
Ga  0.1722  0.0070  0.0833  6 Pt 2.61-2.74
Ge  0.0000  0.3247  0.2500  6 Pt 2.48-2.72
Pt  0.0000  0.1524  0.7500  2 Ge 2.48-2.72, 4 Ga 2.65-2.74
Pt  0.1498  0.4941  0.5765  2 Ge 2.57-2.60, 4 Ga 2.61-2.63

Properties
M_tot: 0.00 μB per cell
N(E_F): 2.1 states/eV/f.u.
Crystal system: monoclinic

Version two
First-principles (PBE) data for a relaxed Ga2GePt3 crystal, as listed in Alexandria.

abc: 6.8984 3.9503 7.8432
angles: 90.00 106.21 90.00
With the nearest neighbours (Å) after each atom.
Space group P2_1/m (No. 11)
Symmetry-distinct sites (fractional):
Ga  0.0281  0.2500  0.3282  6 Pt 2.60-2.90
Ga  0.2239  0.2500  0.9632  6 Pt 2.51-2.58
Ge  0.4709  0.2500  0.6648  6 Pt 2.60-2.66
Pt  0.1541  0.7500  0.1428  5 Ga 2.51-2.73, 1 Ge 2.61, 1 Pt 2.72
Pt  0.2476  0.7500  0.5039  3 Ga 2.60-2.63, 3 Ge 2.60-2.64, 2 Pt 2.72-2.73
Pt  0.3976  0.7500  0.8652  3 Ga 2.54-2.58, 2 Ge 2.66, 1 Pt 2.73

Properties
M_tot: 0.00 μB per cell
N(E_F): 1.6 states/eV/f.u.
Crystal system: monoclinic

Quick one: least stable of them? version one

Version one
First-principles (PBE) data for a relaxed Ga5GePt3 crystal, as listed in Alexandria.

abc: 11.0181 8.6874 9.2034
angles: 90.00 119.50 90.00
With the nearest neighbours (Å) after each atom.
Space group C2/m (No. 12)
Symmetry-distinct sites (fractional):
Ga  0.0000  0.2132  0.0000  3 Pt 2.49-2.52
Ga  0.0608  0.0000  0.3514  3 Pt 2.48-2.52
Ga  0.1728  0.2865  0.6652  3 Pt 2.49-2.55
Ga  0.2395  0.5000  0.0251  3 Pt 2.46-2.53
Ge  0.0923  0.5000  0.3066  3 Pt 2.45-2.48
Pt  0.0000  0.5000  0.0000  2 Ge 2.48, 4 Ga 2.49-2.53
Pt  0.0000  0.5000  0.5000  2 Ge 2.45, 4 Ga 2.55
Pt  0.1652  0.0000  0.1669  6 Ga 2.46-2.52
Pt  0.1741  0.0000  0.6645  1 Ge 2.45, 5 Ga 2.49-2.53

Properties
M_tot: 0.00 μB per cell
N(E_F): 3.2 states/eV/f.u.
Crystal system: monoclinic

Version two
First-principles (PBE) data for a relaxed Ga5GePt3 crystal, as listed in Alexandria.

abc: 13.3732 6.0175 8.6095
angles: 90.00 108.73 90.00
With the nearest neighbours (Å) after each atom.
Space group C2/c (No. 15)
Symmetry-distinct sites (fractional):
Ga  0.0000  0.2473  0.2500  4 Pt 2.60-2.62
Ga  0.1684  0.2517  0.5824  4 Pt 2.61-2.62
Ga  0.1676  0.2546  0.0861  4 Pt 2.60-2.62
Ge  0.0000  0.2421  0.7500  4 Pt 2.59-2.60
Pt  0.0000  0.0000  0.0000  2 Ge 2.60, 6 Ga 2.62
Pt  0.1652  0.4969  0.8328  1 Ge 2.59, 7 Ga 2.60-2.62

Properties
M_tot: 0.00 μB per cell
N(E_F): 3.3 states/eV/f.u.
Crystal system: monoclinic

Quick one: least stable of them? version one

Version one
First-principles (PBE) data for a relaxed GaGe2Pt2 crystal, as listed in Alexandria.

abc: 7.5912 7.5912 3.0145
angles: 90.00 90.00 90.00
With the nearest neighbours (Å) after each atom.
Space group P4/mbm (No. 127)
Symmetry-distinct sites (fractional):
Ga  0.0000  0.0000  0.0000  4 Pt 2.93, 2 Ga 3.01, 8 Ge 3.25
Ge  0.1542  0.3458  0.5000  6 Pt 2.66-2.71
Pt  0.1414  0.6414  0.0000  6 Ge 2.66-2.71, 2 Ga 2.93

Properties
M_tot: 0.00 μB per cell
N(E_F): 3.2 states/eV/f.u.
Crystal system: tetragonal

Version two
First-principles (PBE) data for a relaxed GaGe2Pt2 crystal, as listed in Alexandria.

abc: 7.9598 7.9598 2.7713
angles: 90.00 90.00 90.00
With the nearest neighbours (Å) after each atom.
Space group P4/mbm (No. 127)
Symmetry-distinct sites (fractional):
Ga  0.0000  0.0000  0.0000  2 Ga 2.77
Ge  0.1329  0.3671  0.0000  6 Pt 2.68-2.75, 3 Ge 2.77-2.99
Pt  0.1635  0.6635  0.5000  6 Ge 2.68-2.75, 2 Pt 2.77

Properties
M_tot: 0.00 μB per cell
N(E_F): 1.8 states/eV/f.u.
Crystal system: tetragonal

Version three
First-principles (PBE) data for a relaxed GaGe2Pt2 crystal, as listed in Alexandria.

abc: 3.9416 3.9416 11.9506
angles: 90.00 90.00 90.00
With the nearest neighbours (Å) after each atom.
Space group I4/mmm (No. 139)
Symmetry-distinct sites (fractional):
Ga  0.0000  0.0000  0.0000  8 Pt 3.10
Ge  0.0000  0.5000  0.2500  4 Pt 2.56, 4 Ge 2.79
Pt  0.0000  0.0000  0.3863  4 Ge 2.56, 1 Pt 2.72

Properties
M_tot: 0.00 μB per cell
N(E_F): 3.1 states/eV/f.u.
Crystal system: tetragonal

Quick one: least stable of them? version two

Version one
First-principles (PBE) data for a relaxed GaGePt3 crystal, as listed in Alexandria.

abc: 4.6834 4.6834 4.6834
angles: 90.00 90.00 90.00
With the nearest neighbours (Å) after each atom.
Space group Pm-3m (No. 221)
Symmetry-distinct sites (fractional):
Ga  0.0000  0.0000  0.0000  12 Pt 3.31
Ge  0.5000  0.5000  0.5000  6 Pt 2.34
Pt  0.0000  0.5000  0.5000  2 Ge 2.34

Properties
M_tot: 0.00 μB per cell
N(E_F): 7.9 states/eV/f.u.
Crystal system: cubic

Version two
First-principles (PBE) data for a relaxed GaGePt3 crystal, as listed in Alexandria.

abc: 11.0167 8.3859 7.2650
angles: 90.00 90.07 90.00
With the nearest neighbours (Å) after each atom.
Space group C2/c (No. 15)
Symmetry-distinct sites (fractional):
Ga  0.1912  0.1998  0.2499  6 Pt 2.52-2.56
Ge  0.0000  0.1341  0.7500  8 Pt 2.57-2.67
Ge  0.0000  0.4543  0.2500  8 Pt 2.70-2.72, 2 Ga 3.00
Pt  0.1256  0.3363  0.9579  2 Ga 2.52-2.54, 3 Ge 2.66-2.72, 2 Pt 2.77-2.80
Pt  0.1257  0.3371  0.5411  2 Ga 2.52-2.54, 3 Ge 2.67-2.71, 2 Pt 2.77-2.80
Pt  0.1303  0.9996  0.0001  2 Ga 2.56, 2 Ge 2.57, 2 Pt 2.84

Properties
M_tot: 0.00 μB per cell
N(E_F): 2.1 states/eV/f.u.
Crystal system: monoclinic

Quick one: least stable of them? version one